1.
meta-GGA SCAN NaAsO2F, PBEsol geometry; V = 12.01 A^3/atom; energy = -9.654 eV/atom; spin magnetization = 0.0000 μB per atom; N(E_F) = 0.3 states/eV/f.u.; E_form (uncorrected) = -1572 meV/atom; space-group type = P4/mmm, No. 123
1.0
3.7839 0.0000 0.0000
0.0000 3.7839 0.0000
0.0000 0.0000 4.1945
Na As O F
1 1 2 1
Direct
0.0000 0.0000 0.0000
0.5000 0.5000 0.5000
0.0000 0.5000 0.5000
0.5000 0.0000 0.5000
0.5000 0.5000 0.0000


2.
meta-GGA SCAN Rb2NaAsF6, PBEsol geometry; V = 16.06 A^3/atom; energy = -11.390 eV/atom; spin magnetization = 0.0000 μB per atom; N(E_F) = 0.0 states/eV/f.u.; E_form (uncorrected) = -2678 meV/atom; space-group type = Fm-3m, No. 225
1.0
0.0000 4.3142 4.3142
4.3142 0.0000 4.3142
4.3142 4.3142 0.0000
Rb Na As F
2 1 1 6
Direct
0.2500 0.2500 0.2500
0.7500 0.7500 0.7500
0.0000 0.0000 0.0000
0.5000 0.5000 0.5000
0.2621 0.2621 0.7379
0.2621 0.7379 0.2621
0.2621 0.7379 0.7379
0.7379 0.2621 0.2621
0.7379 0.2621 0.7379
0.7379 0.7379 0.2621


3.
meta-GGA SCAN Na2SrAsF, PBEsol geometry; V = 20.85 A^3/atom; energy = -12.612 eV/atom; spin magnetization = 0.0000 μB per atom; E_form (uncorrected) = -1725 meV/atom; space-group type = P4/mmm, No. 123
1.0
4.5553 0.0000 0.0000
0.0000 4.5553 0.0000
0.0000 0.0000 5.0230
Na Sr As F
2 1 1 1
Direct
0.0000 0.5000 0.0000
0.5000 0.0000 0.0000
0.0000 0.0000 0.5000
0.5000 0.5000 0.5000
0.0000 0.0000 0.0000


4.
meta-GGA SCAN NbSnAs2F, PBEsol geometry; V = 18.30 A^3/atom; energy = -22.390 eV/atom; spin magnetization = 0.3770 μB per atom; N(E_F) = 3.0 states/eV/f.u.; E_form (uncorrected) = 204 meV/atom; space-group type = P4/mmm, No. 123
1.0
4.4415 0.0000 0.0000
0.0000 4.4415 0.0000
0.0000 0.0000 4.6382
Nb Sn As F
1 1 2 1
Direct
0.0000 0.0000 0.0000
0.5000 0.5000 0.0000
0.0000 0.5000 0.5000
0.5000 0.0000 0.5000
0.5000 0.5000 0.5000


5.
meta-GGA SCAN NiAsW2F, PBEsol geometry; V = 14.68 A^3/atom; energy = -34.768 eV/atom; spin magnetization = 0.0000 μB per atom; N(E_F) = 3.8 states/eV/f.u.; E_form (uncorrected) = 1088 meV/atom; space-group type = P4/mmm, No. 123
1.0
3.9845 0.0000 0.0000
0.0000 3.9845 0.0000
0.0000 0.0000 4.6224
Ni As W F
1 1 2 1
Direct
0.0000 0.0000 0.0000
0.5000 0.5000 0.0000
0.0000 0.5000 0.5000
0.5000 0.0000 0.5000
0.5000 0.5000 0.5000


6.
meta-GGA SCAN ZrNiAs2F, PBEsol geometry; V = 15.65 A^3/atom; energy = -18.513 eV/atom; spin magnetization = 0.1488 μB per atom; N(E_F) = 1.7 states/eV/f.u.; E_form (uncorrected) = -354 meV/atom; space-group type = P4/mmm, No. 123
1.0
4.6081 0.0000 0.0000
0.0000 4.6081 0.0000
0.0000 0.0000 3.6850
Zr Ni As F
1 1 2 1
Direct
0.0000 0.0000 0.0000
0.5000 0.5000 0.0000
0.0000 0.5000 0.5000
0.5000 0.0000 0.5000
0.5000 0.5000 0.5000